Material: Sr2TiBeO5
Method: DFT, PBE
State: relaxed

Summary:
Calculated total energy ... -7.265 eV per atom
Uncorrected formation energy ... -25.61 eV/f.u.

POSCAR file:
```
Sr2TiBeO5
1.0
1.5829 -6.8638 0.0000
1.5829 6.8638 0.0000
0.0000 0.0000 10.5149
Sr Ti Be O
4 2 2 10
Cartesian
1.5829 5.4304 5.2575
1.5829 5.0886 1.5710
1.5829 -5.0886 6.8284
1.5829 -5.4304 0.0000
1.5829 4.1440 8.9178
1.5829 -4.1440 3.6604
1.5829 0.8283 2.6110
1.5829 -0.8283 7.8685
1.5829 6.1512 8.6949
1.5829 2.7650 4.9484
1.5829 2.5076 2.3216
1.5829 2.2924 8.7278
1.5829 0.0480 1.2485
1.5829 -0.0480 6.5060
1.5829 -2.2924 3.4703
1.5829 -2.5076 7.5791
1.5829 -2.7650 10.2059
1.5829 -6.1512 3.4375
```

=====

Material: ZnCdBr
Method: DFT, PBE
State: relaxed

Summary:
Calculated total energy ... -1.405 eV per atom
Energy relative to the lowest polymorph listed for this composition ... 81.8 meV per atom
Uncorrected formation energy ... -0.35 eV/f.u.

POSCAR file:
```
ZnCdBr
1.0
0.0000 3.1195 6.1050
1.9801 0.0000 6.1050
1.9801 3.1195 0.0000
Zn Cd Br
1 1 1
Cartesian
0.0000 0.0000 0.0000
1.9801 3.1195 7.9539
1.9801 3.1195 4.1755
```

=====

Number 1: mass density 4.54 Mg/m³. Number 2: mass density 5.67 Mg/m³.